DFT (PBE) results for a geometry-optimized KSr2TeS4 structure.

Output
**E_form (uncorrected)**: -1.19 eV/atom
**DOS(E_F)**: 2.44 states/eV per cell
**Raw total energy**: -0.155 Ha/atom

Lattice parameters (Å, degrees): 8.3497 8.3497 8.3768 117.19 117.19 89.49
Last column: nearest neighbours and their distance in Å.
Fractional coordinates of all 16 atoms:
K 0.0000 0.0000 0.0000  4 S 3.00-3.03
K 0.0000 0.0000 0.5000  4 S 3.00-3.03
Sr 0.0000 0.5000 0.0000  6 S 2.97-3.26
Sr 0.5000 0.0000 0.5000  6 S 2.97-3.26
Sr 0.5000 0.5000 0.0000  6 S 2.92-3.05
Sr 0.5000 0.5000 0.5000  6 S 2.92-3.05
Te 0.0000 0.5000 0.5000  4 S 2.69-2.75
Te 0.5000 0.0000 0.0000  4 S 2.69-2.75
S 0.2127 0.7057 0.4635  1 Te 2.69, 2 Sr 2.92-2.97, 1 K 3.00
S 0.2510 0.2833 0.5267  1 Te 2.75, 2 Sr 2.92-3.05, 1 K 3.03
S 0.2833 0.2510 0.0267  1 Te 2.75, 2 Sr 2.92-3.05, 1 K 3.03
S 0.2943 0.7873 0.0365  1 Te 2.69, 2 Sr 2.92-2.97, 1 K 3.00
S 0.7057 0.2127 0.9635  1 Te 2.69, 2 Sr 2.92-2.97, 1 K 3.00
S 0.7167 0.7490 0.9733  1 Te 2.75, 2 Sr 2.92-3.05, 1 K 3.03
S 0.7490 0.7167 0.4733  1 Te 2.75, 2 Sr 2.92-3.05, 1 K 3.03
S 0.7873 0.2943 0.5365  1 Te 2.69, 2 Sr 2.92-2.97, 1 K 3.00